# 1
A relaxed PmHo3Sc2Se6 crystal, computed with PBE.

Unit cell a=6.9643 b=12.1001 c=6.9607 alpha=90.00 beta=109.50 gamma=90.00
Closest atoms and distances in Å follow each position.
Space group C2/m (No. 12)
Symmetry-distinct sites (fractional):
Pm 0.0000 0.0000 0.0000  6 Se 2.90-2.94
Ho 0.0000 0.1569 0.5000  6 Se 2.84-2.91
Ho 0.0000 0.5000 0.5000  6 Se 2.79-2.91
Sc 0.0000 0.3364 0.0000  6 Se 2.74-2.81
Se 0.2309 0.5000 0.2403  2 Sc 2.74, 3 Ho 2.79-2.85, 1 Pm 2.90
Se 0.2430 0.3246 0.7524  2 Sc 2.79-2.81, 3 Ho 2.84-2.91, 1 Pm 2.94

Calculated values
formation energy without anion corrections	-1953	kJ/mol of formula units

***

# 2
A relaxed Ti5TlTc4 crystal, computed with PBE.

Unit cell a=3.1600 b=3.1600 c=16.0492 alpha=90.00 beta=90.00 gamma=90.00
Closest atoms and distances in Å follow each position.
Space group P4/mmm (No. 123)
Symmetry-distinct sites (fractional):
Ti 0.0000 0.0000 0.0000  8 Tc 2.72, 2 Ti 3.03
Ti 0.0000 0.0000 0.1890  8 Tc 2.68-2.76, 1 Ti 2.96
Ti 0.0000 0.0000 0.3735  4 Tc 2.60
Tl 0.5000 0.5000 0.5000  8 Ti 3.02, 4 Tl 3.16, 2 Tc 3.36
Tc 0.5000 0.5000 0.0965  8 Ti 2.68-2.72
Tc 0.5000 0.5000 0.2904  8 Ti 2.60-2.76

***

# 3
A relaxed Ce7Ge5Bi crystal, computed with PBE.

Unit cell a=6.1315 b=10.7808 c=10.2129 alpha=90.00 beta=90.00 gamma=90.00
Closest atoms and distances in Å follow each position.
Space group Imm2 (No. 44)
Symmetry-distinct sites (fractional):
Ce 0.0000 0.0000 0.0000  4 Ge 3.24, 1 Bi 3.28, 2 Ce 3.49
Ce 0.0000 0.0000 0.3713  6 Ge 3.07-3.13, 1 Bi 3.14
Ce 0.0000 0.3138 0.6750  5 Ge 2.96-3.07
Ce 0.0000 0.3353 0.1265  1 Ce 2.78, 3 Ge 2.99-3.01
Ce 0.0000 0.5000 0.3357  2 Ce 2.78, 4 Ge 3.01
Ge 0.0000 0.5000 0.8883  6 Ce 2.96-3.07, 4 Ge 3.31
Ge 0.2173 0.2603 0.4105  1 Ge 2.66
Bi 0.0000 0.0000 0.6785  6 Ce 3.14-3.46

***

# 4
A relaxed Zn2GaCu4 crystal, computed with PBE.

Unit cell a=8.8228 b=5.0085 c=8.8597 alpha=90.00 beta=90.00 gamma=90.00
Closest atoms and distances in Å follow each position.
Space group Cmce (No. 64)
Symmetry-distinct sites (fractional):
Zn 0.1806 0.0000 0.0000  6 Cu 2.53-2.63, 2 Zn 2.79, 1 Ga 2.82
Ga 0.0000 0.0000 0.5000  2 Cu 2.47
Cu 0.0000 0.0120 0.2218  1 Ga 2.47, 2 Zn 2.53, 6 Cu 2.54-2.56
Cu 0.2500 0.2434 0.7500  6 Cu 2.50-2.56, 4 Zn 2.60-2.63

Calculated values
energy relative to the lowest polymorph listed for this composition	0	meV per atom

***

# 5
A relaxed TaPbBr2 crystal, computed with PBE.

Unit cell a=3.1981 b=6.0969 c=12.1682 alpha=90.00 beta=90.00 gamma=90.00
Closest atoms and distances in Å follow each position.
Space group Cmmm (No. 65)
Symmetry-distinct sites (fractional):
Ta 0.0000 0.0000 0.0000  4 Br 2.63
Pb 0.0000 0.0000 0.5000  6 Pb 3.20-3.44
Br 0.0000 0.5000 0.1720  2 Ta 2.63

Calculated values
energy relative to the lowest polymorph listed for this composition	200	meV per atom
formation energy without anion corrections	7	kJ/mol of formula units

***

# 6
A relaxed LaGeS2Cl crystal, computed with PBE.

Unit cell a=5.5668 b=5.5668 c=5.3399 alpha=90.00 beta=90.00 gamma=90.00
Closest atoms and distances in Å follow each position.
Space group P4/mmm (No. 123)
Symmetry-distinct sites (fractional):
La 0.0000 0.0000 0.0000  2 Cl 2.67, 4 S 2.78
Ge 0.5000 0.5000 0.5000  8 S 3.86, 4 Cl 3.94
S 0.0000 0.5000 0.0000  2 La 2.78
Cl 0.0000 0.0000 0.5000  2 La 2.67

Calculated values
energy relative to the lowest polymorph listed for this composition	339	meV per atom
formation energy without anion corrections	-287	kJ/mol of formula units

***

# 7
A relaxed Pm4NdTm5 crystal, computed with PBE.

Unit cell a=16.8880 b=3.5362 c=11.4435 alpha=90.00 beta=109.07 gamma=90.00
Closest atoms and distances in Å follow each position.
Space group C2/m (No. 12)
Symmetry-distinct sites (fractional):
Pm 0.0884 0.0000 0.2916  6 Tm 3.42-3.64, 4 Pm 3.54-3.58, 2 Nd 3.66
Pm 0.1066 0.5000 0.7972  6 Tm 3.24-3.60, 1 Nd 3.29, 4 Pm 3.54-3.58
Nd 0.0000 0.5000 0.5000  6 Pm 3.29-3.66, 2 Nd 3.54
Tm 0.0000 0.5000 0.0000  6 Pm 3.37-3.64, 6 Tm 3.53-3.54
Tm 0.1911 0.0000 0.0790  4 Pm 3.24-3.54, 6 Tm 3.53-3.56
Tm 0.2121 0.0000 0.6169  6 Tm 3.54-3.77, 5 Pm 3.60-3.64, 2 Nd 3.82

Calculated values
energy relative to the lowest polymorph listed for this composition	0	meV per atom

***

# 8
A relaxed SrScCu crystal, computed with PBE.

Unit cell a=4.5590 b=4.5590 c=4.7967 alpha=90.00 beta=90.00 gamma=120.00
Closest atoms and distances in Å follow each position.
Space group P-6m2 (No. 187)
Symmetry-distinct sites (fractional):
Sr 0.0000 0.0000 0.0000  6 Sc 3.56, 6 Cu 3.56
Sc 0.3333 0.6667 0.5000  3 Cu 2.63
Cu 0.6667 0.3333 0.5000  3 Sc 2.63

Calculated values
energy relative to the lowest polymorph listed for this composition	214	meV per atom

***

| no. | total energy (eV/atom) | spin magnetization (μB per formula unit) | DOS at the Fermi energy (states/eV/f.u.) |
| --- | --- | --- | --- |
| 1 | -6.024 | 0.0 | 5.8 |
| 2 | -8.728 | 0.0 | 8.4 |
| 3 | -5.801 | 5.7 | 32.7 |
| 4 | -3.113 | 0.0 | 1.6 |
| 5 | -4.708 | 0.1 | 2.9 |
| 6 | -4.524 | 0.0 | 0.9 |
| 7 | -4.566 | 0.0 | 13.8 |
| 8 | -3.857 | 0.0 | 3.8 |